[1]
A plane-wave DFT calculation with meta-GGA SCAN was carried out for a PBEsol-optimized structure of Hg2IrCl.

Summary:
Total magnetization: 0.0 μB per formula unit
Energy above the lowest structure with this stoichiometry: 0.0000 eV per atom
V: 18.31 Å³/atom
ΔE_f (raw): 439.3 meV/atom
DOS(E_F): 2.19 states/eV/f.u.
DFT total energy: -53.41 eV per atom

abc: 4.9505 4.9505 2.9890
angles: 90.00 90.00 90.00
Last column: nearest neighbours and their distance in Å.
Space group P4/mmm (No. 123)
Symmetry-distinct sites (fractional):
Hg  0.0000  0.5000  0.0000 [2 per cell]  4 Cl 2.89, 4 Ir 2.89, 2 Hg 2.99
Ir  0.0000  0.0000  0.5000 [1 per cell]  8 Hg 2.89, 2 Ir 2.99
Cl  0.5000  0.5000  0.5000 [1 per cell]  8 Hg 2.89, 2 Cl 2.99

---

[2]
A plane-wave DFT calculation with meta-GGA SCAN was carried out for a PBEsol-optimized structure of LiSiIr.

Summary:
Total magnetization: 0.0 μB per formula unit
V: 14.13 Å³/atom
ΔE_f (raw): -500.9 meV/atom
DOS(E_F): 1.26 states/eV/f.u.
DFT total energy: -28.34 eV per atom

abc: 5.5344 5.5344 5.5344
angles: 90.00 90.00 90.00
Last column: nearest neighbours and their distance in Å.
Space group F-43m (No. 216)
Symmetry-distinct sites (fractional):
Li  0.0000  0.0000  0.0000 [4 per cell]  4 Si 2.40
Si  0.2500  0.2500  0.7500 [4 per cell]  4 Li 2.40, 4 Ir 2.40
Ir  0.0000  0.0000  0.5000 [4 per cell]  4 Si 2.40